VASP calculation (PBE-GGA) on AlPb3Au after structural relaxation.

Properties
SG: Pm-3m, No. 221
Energy, eV/atom: -3.12
Calculated formation energy, eV/atom: 0.51

Lattice parameters (Å, degrees): 5.3989 5.3989 5.3989 90.00 90.00 90.00
Last column: nearest neighbours and their distance in Å.
Sites, in units of the cell vectors:
Pb: 0.0000 0.5000 0.0000  2 Al 2.70
Pb: 0.5000 0.0000 0.0000  2 Al 2.70
Pb: 0.0000 0.0000 0.5000  2 Al 2.70
Au: 0.5000 0.5000 0.5000  12 Pb 3.82
Al: 0.0000 0.0000 0.0000  6 Pb 2.70